[1]
Here is Hf2Al2Ga3 after structural relaxation from Alexandria. Energies are from PBE.

Calculated values
Magnetic moment ... 0.000 μB/atom
Total energy ... -5.35 eV/atom
E above lowest polymorph ... 0.1208 eV/atom
Calculated volume ... 521.7 Å³/cell
Calculated formation energy ... -0.14 eV per atom

The structure in CIF format:
```
data_Hf2Al2Ga3
_chemical_formula_sum 'Hf8 Al8 Ga12'
_symmetry_space_group_name_H-M 'I 21 3'
_symmetry_Int_Tables_number 199
_symmetry_space_group_name_Hall 'I 2b 2c 3'
_cell_length_a 8.050
_cell_length_b 8.050
_cell_length_c 8.050
_cell_angle_alpha 90.00
_cell_angle_beta 90.00
_cell_angle_gamma 90.00
loop_
_atom_site_label
_atom_site_type_symbol
_atom_site_fract_x
_atom_site_fract_y
_atom_site_fract_z
_atom_site_occupancy
Hf1 Hf 0.007 0.007 0.007 1
Al1 Al 0.185 0.315 0.685 1
Ga1 Ga 0.000 0.250 0.260 1
```

[2]
Here is SrEr2Lu after structural relaxation from Alexandria. Energies are from PBE.

Calculated values
Magnetic moment ... 0.000 μB/atom
Total energy ... -3.68 eV/atom
E above lowest polymorph ... 0.0000 eV/atom
Calculated volume ... 143.6 Å³/cell
Calculated formation energy ... 0.15 eV per atom

The structure in CIF format:
```
data_SrEr2Lu
_chemical_formula_sum 'Sr1 Er2 Lu1'
_symmetry_space_group_name_H-M 'P 4/m m m'
_symmetry_Int_Tables_number 123
_symmetry_space_group_name_Hall '-P 4 2'
_cell_length_a 3.957
_cell_length_b 3.957
_cell_length_c 9.171
_cell_angle_alpha 90.00
_cell_angle_beta 90.00
_cell_angle_gamma 90.00
loop_
_atom_site_label
_atom_site_type_symbol
_atom_site_fract_x
_atom_site_fract_y
_atom_site_fract_z
_atom_site_occupancy
Sr1 Sr 0.000 0.000 0.000 1
Er1 Er 0.500 0.500 0.301 1
Lu1 Lu 0.000 0.000 0.500 1
```

[3]
Here is La3Zn3Ga8 after structural relaxation from Alexandria. Energies are from PBE.

Calculated values
Magnetic moment ... 0.000 μB/atom
Total energy ... -3.55 eV/atom
E above lowest polymorph ... 0.0083 eV/atom
Calculated volume ... 574.5 Å³/cell
Calculated formation energy ... -0.49 eV per atom

The structure in CIF format:
```
data_La3Zn3Ga8
_chemical_formula_sum 'La6 Zn6 Ga16'
_symmetry_space_group_name_H-M 'I m m m'
_symmetry_Int_Tables_number 71
_symmetry_space_group_name_Hall '-I 2 2'
_cell_length_a 4.378
_cell_length_b 10.050
_cell_length_c 13.056
_cell_angle_alpha 90.00
_cell_angle_beta 90.00
_cell_angle_gamma 90.00
loop_
_atom_site_label
_atom_site_type_symbol
_atom_site_fract_x
_atom_site_fract_y
_atom_site_fract_z
_atom_site_occupancy
La1 La 0.000 0.000 0.000 1
La2 La 0.000 0.000 0.314 1
Zn1 Zn 0.000 0.210 0.500 1
Zn2 Zn 0.000 0.500 0.000 1
Ga1 Ga 0.000 0.278 0.140 1
Ga2 Ga 0.000 0.368 0.340 1
```

[4]
Here is KLiTiTe3 after structural relaxation from Alexandria. Energies are from PBE.

Calculated values
Magnetic moment ... 0.000 μB/atom
Total energy ... -4.25 eV/atom
Formation energy without anion corrections ... -859 meV per atom
Calculated volume ... 360.1 Å³/cell

The structure in CIF format:
```
data_KLiTiTe3
_chemical_formula_sum 'K2 Li2 Ti2 Te6'
_symmetry_space_group_name_H-M 'P 1 21/m 1'
_symmetry_Int_Tables_number 11
_cell_length_a 8.758
_cell_length_b 4.074
_cell_length_c 10.853
_cell_angle_alpha 90.00
_cell_angle_beta 111.57
_cell_angle_gamma 90.00
loop_
_symmetry_equiv_pos_as_xyz
'x,y,z'
'-x,-y,-z'
'-x,y+1/2,-z'
'x,-y+1/2,z'
loop_
_atom_site_label
_atom_site_type_symbol
_atom_site_fract_x
_atom_site_fract_y
_atom_site_fract_z
_atom_site_occupancy
K1 K 0.231 0.250 0.202 1
Li1 Li 0.429 0.250 0.897 1
Ti1 Ti 0.194 0.750 0.663 1
Te1 Te 0.049 0.750 0.380 1
Te2 Te 0.239 0.750 0.926 1
Te3 Te 0.403 0.250 0.642 1
```

[5]
Here is Ca4Ge2Rh after structural relaxation from Alexandria. Energies are from PBE.

Calculated values
Magnetic moment ... 0.000 μB/atom
Total energy ... -3.75 eV/atom
Calculated volume ... 429.6 Å³/cell
Calculated formation energy ... -0.24 eV per atom

The structure in CIF format:
```
data_Ca4Ge2Rh
_chemical_formula_sum 'Ca8 Ge4 Rh2'
_symmetry_space_group_name_H-M 'I 4/m m m'
_symmetry_Int_Tables_number 139
_symmetry_space_group_name_Hall '-I 4 2'
_cell_length_a 5.588
_cell_length_b 5.588
_cell_length_c 13.756
_cell_angle_alpha 90.00
_cell_angle_beta 90.00
_cell_angle_gamma 90.00
loop_
_atom_site_label
_atom_site_type_symbol
_atom_site_fract_x
_atom_site_fract_y
_atom_site_fract_z
_atom_site_occupancy
Ca1 Ca 0.000 0.000 0.193 1
Ca2 Ca 0.000 0.500 0.000 1
Ge1 Ge 0.000 0.000 0.404 1
Rh1 Rh 0.000 0.000 0.000 1
```

[6]
Here is AcGa2As after structural relaxation from Alexandria. Energies are from PBE.

Calculated values
Magnetic moment ... 0.000 μB/atom
Total energy ... -4.13 eV/atom
E above lowest polymorph ... 0.0936 eV/atom
Calculated volume ... 300.2 Å³/cell
Calculated formation energy ... -0.43 eV per atom

The structure in CIF format:
```
data_AcGa2As
_chemical_formula_sum 'Ac3 Ga6 As3'
_symmetry_space_group_name_H-M 'R -3 m'
_symmetry_Int_Tables_number 166
_symmetry_space_group_name_Hall '-R 3 2"'
_cell_length_a 4.6311
_cell_length_b 4.6311
_cell_length_c 16.1618
_cell_angle_alpha 90.00
_cell_angle_beta 90.00
_cell_angle_gamma 120.00
loop_
_atom_site_label
_atom_site_type_symbol
_atom_site_fract_x
_atom_site_fract_y
_atom_site_fract_z
_atom_site_occupancy
Ac1 Ac 0.0000 0.0000 0.0000 1
Ga1 Ga 0.0000 0.0000 0.2139 1
As1 As 0.0000 0.0000 0.5000 1
```